DyB: relaxed, PBE-GGA.

Computed properties:
formation energy	-0.40	eV per atom
DOS at the Fermi energy	3.3	states/eV per cell
DFT total energy	-24.139	eV for the cell shown

The structure in extended XYZ format:
```
4
Lattice="3.545 0.000 0.000 0.000 3.183 0.000 -1.765 0.000 6.469" Properties=species:S:1:pos:R:3 pbc="T T T"
Dy 0.001 0.796 1.619
Dy 1.779 2.387 4.850
B 0.009 0.796 6.170
B 1.771 2.387 0.299
```